(1)
This record from Alexandria describes an optimized crystal structure of PbCI. The functional is PBE-GGA.

- N(E_F) (states/eV/atom) = 0.62
- energy above the most stable polymorph in this dataset (meV/atom) = 911
- symmetry = Cm, No. 8

Unit cell a=6.5013 b=3.9521 c=6.8579 alpha=90.00 beta=107.88 gamma=90.00
Closest atoms and distances in Å follow each position.
Fractional coordinates of all 6 atoms:
Pb 0.2417 0.0000 0.0488  3 C 2.40
Pb 0.2417 0.5000 0.5488  3 C 2.40
I 0.7235 0.0000 0.9172  1 C 2.29
I 0.7235 0.5000 0.4172  1 C 2.29
C 0.3601 0.0000 0.7499  1 I 2.29, 3 Pb 2.40
C 0.3601 0.5000 0.2499  1 I 2.29, 3 Pb 2.40

(2)
This record from Alexandria describes an optimized crystal structure of PbCI. The functional is PBE-GGA.

- energy above the most stable polymorph in this dataset (meV/atom) = 48
- symmetry = Cm, No. 8

Unit cell a=4.5886 b=15.7620 c=6.2905 alpha=90.00 beta=114.86 gamma=90.00
Closest atoms and distances in Å follow each position.
Fractional coordinates of all 12 atoms:
Pb 0.5507 0.3840 0.2659  2 C 2.47-2.50
Pb 0.5507 0.6160 0.2659  2 C 2.47-2.50
Pb 0.5507 0.8840 0.7659  2 C 2.47-2.50
Pb 0.5507 0.1160 0.7659  2 C 2.47-2.50
I 0.3034 0.8365 0.2347  1 Pb 3.13
I 0.3034 0.1635 0.2347  1 Pb 3.13
I 0.3034 0.3365 0.7347  1 Pb 3.13
I 0.3034 0.6635 0.7347  1 Pb 3.13
C 0.8967 0.0000 0.7279  1 C 1.26
C 0.8967 0.5000 0.2279  1 C 1.26
C 0.1677 0.0000 0.7224  1 C 1.26
C 0.1677 0.5000 0.2224  1 C 1.26

(3)
This record from Alexandria describes an optimized crystal structure of PbCI. The functional is PBE-GGA.

- N(E_F) (states/eV/atom) = 0.00
- energy above the most stable polymorph in this dataset (meV/atom) = 0
- symmetry = P-1, No. 2

Unit cell a=4.6637 b=6.5003 c=7.8076 alpha=114.53 beta=107.28 gamma=89.99
Closest atoms and distances in Å follow each position.
Fractional coordinates of all 6 atoms:
Pb 0.6353 0.6364 0.2724  2 C 2.50
Pb 0.3647 0.3636 0.7276  2 C 2.50
I 0.6687 0.1671 0.3335  4 Pb 3.27-3.53
I 0.3313 0.8329 0.6665  4 Pb 3.27-3.53
C 0.1350 0.5000 0.9999  1 C 1.26
C 0.8650 0.5000 0.0001  1 C 1.26

(4)
This record from Alexandria describes an optimized crystal structure of Rb2PbCI6. The functional is PBE-GGA.

- N(E_F) (states/eV/atom) = 0.00
- symmetry = I4/mmm, No. 139

Unit cell a=8.2789 b=8.2789 c=8.2741 alpha=59.98 beta=59.98 gamma=90.00
Closest atoms and distances in Å follow each position.
Fractional coordinates of all 10 atoms:
Pb 0.0000 0.0000 0.0000  6 I 3.16
I 0.2703 0.2703 0.4595  1 C 2.69
I 0.7297 0.7297 0.5405  1 C 2.69
I 0.2703 0.2703 0.0000  1 C 2.69
I 0.7297 0.7297 0.0000  1 C 2.69
I 0.7297 0.2703 0.0000  1 C 2.69
I 0.2703 0.7297 0.0000  1 C 2.69
C 0.5000 0.5000 0.0000  6 I 2.69
Rb 0.7500 0.2500 0.5000  12 I 4.14-4.15
Rb 0.2500 0.7500 0.5000  12 I 4.14-4.15

(5)
This record from Alexandria describes an optimized crystal structure of Re2PbCI. The functional is PBE-GGA.

- N(E_F) (states/eV/atom) = 0.66
- symmetry = P4/mmm, No. 123

Unit cell a=4.8859 b=6.0980 c=4.8859 alpha=90.00 beta=90.00 gamma=90.00
Closest atoms and distances in Å follow each position.
Fractional coordinates of all 5 atoms:
Pb 0.0000 0.5000 0.0000  2 I 3.05
Re 0.0000 0.0000 0.5000  2 I 2.44
Re 0.5000 0.0000 0.0000  2 I 2.44
C 0.5000 0.5000 0.5000  4 Pb 3.45
I 0.0000 0.0000 0.0000  4 Re 2.44

(6)
This record from Alexandria describes an optimized crystal structure of SbPbCI2. The functional is PBE-GGA.

- N(E_F) (states/eV/atom) = 1.95
- energy above the most stable polymorph in this dataset (meV/atom) = 794
- symmetry = P4/mmm, No. 123

Unit cell a=6.2526 b=6.2526 c=6.1566 alpha=90.00 beta=90.00 gamma=90.00
Closest atoms and distances in Å follow each position.
Fractional coordinates of all 5 atoms:
Pb 0.0000 0.0000 0.0000  2 Sb 3.08, 4 I 3.13
I 0.0000 0.5000 0.0000  2 Pb 3.13
I 0.5000 0.0000 0.0000  2 Pb 3.13
C 0.5000 0.5000 0.5000  8 I 4.39, 4 Sb 4.42
Sb 0.0000 0.0000 0.5000  2 Pb 3.08

The evaluated energy relative to the elements, uncorrected for the records listed, in turn: 1152.1; 288.4; 240.8; -261.1; 3625.4; 1706.9 meV/atom.